[1]
SmYRu: optimized geometry, PBE.

## Properties
crystal system: cubic
offset from the most stable computed form: 0.116 eV per formula unit

Cell lengths 4.8315, 4.8315, 4.8315 Å; angles 60.00, 60.00, 60.00 degrees
With the nearest neighbours (Å) after each atom.
Fractional positions:
Sm  0.0000  0.0000  0.0000  4 Ru 2.96
Y  0.5000  0.5000  0.5000  4 Ru 2.96
Ru  0.2500  0.2500  0.2500  4 Sm 2.96, 4 Y 2.96

[2]
SmY2Ru: optimized geometry, PBE.

## Properties
crystal system: tetragonal
offset from the most stable computed form: 0.345 eV per formula unit

Cell lengths 3.4519, 3.4519, 9.0349 Å; angles 90.00, 90.00, 90.00 degrees
With the nearest neighbours (Å) after each atom.
Fractional positions:
Sm  0.0000  0.0000  0.0000  4 Sm 3.45, 8 Y 3.77
Y  0.5000  0.5000  0.3178  4 Ru 2.94, 1 Y 3.29
Y  0.5000  0.5000  0.6822  4 Ru 2.94, 1 Y 3.29
Ru  0.0000  0.0000  0.5000  8 Y 2.94

[3]
Sm3YRu: optimized geometry, PBE.

## Properties
crystal system: orthorhombic
offset from the most stable computed form: 0.442 eV per formula unit

Cell lengths 7.7178, 6.5168, 6.3317 Å; angles 90.00, 90.00, 90.00 degrees
With the nearest neighbours (Å) after each atom.
Fractional positions:
Sm  0.0000  0.1566  0.0000  1 Ru 2.75
Sm  0.2496  0.3191  0.5035  2 Ru 2.76
Sm  0.2504  0.6809  0.0035  2 Ru 2.76
Sm  0.5000  0.8434  0.5000  1 Ru 2.75
Sm  0.7504  0.3191  0.5035  2 Ru 2.76
Sm  0.7496  0.6809  0.0035  2 Ru 2.76
Y  0.0000  0.8384  0.5075  1 Ru 2.73
Y  0.5000  0.1616  0.0075  1 Ru 2.73
Ru  0.0000  0.5003  0.2531  1 Y 2.73, 5 Sm 2.75-2.76
Ru  0.5000  0.4997  0.7531  1 Y 2.73, 5 Sm 2.75-2.76

[4]
Sm3YRu: optimized geometry, PBE.

## Properties
crystal system: monoclinic
offset from the most stable computed form: 0.000 eV per formula unit

Cell lengths 7.3554, 7.3554, 8.2910 Å; angles 124.04, 124.04, 71.82 degrees
With the nearest neighbours (Å) after each atom.
Fractional positions:
Sm  0.0504  0.0504  0.3432  1 Ru 2.68
Sm  0.0534  0.4492  0.2076  1 Ru 2.68
Sm  0.4492  0.0534  0.2076  1 Ru 2.68
Sm  0.5508  0.9466  0.7924  1 Ru 2.68
Sm  0.9466  0.5508  0.7924  1 Ru 2.68
Sm  0.9496  0.9496  0.6568  1 Ru 2.68
Y  0.4488  0.4488  0.7478  1 Ru 2.69
Y  0.5512  0.5512  0.2522  1 Ru 2.69
Ru  0.2493  0.2493  0.8679  3 Sm 2.68, 1 Y 2.69
Ru  0.7507  0.7507  0.1321  3 Sm 2.68, 1 Y 2.69

[5]
SmY4Ru2: optimized geometry, PBE.

## Properties
crystal system: monoclinic

Cell lengths 7.7761, 6.4144, 8.0126 Å; angles 90.00, 112.75, 90.00 degrees
With the nearest neighbours (Å) after each atom.
Fractional positions:
Sm  0.0235  0.2500  0.1648  1 Ru 2.83
Sm  0.9765  0.7500  0.8352  1 Ru 2.83
Y  0.2437  0.5006  0.5850  4 Ru 2.95-3.07, 2 Y 3.20-3.21
Y  0.2437  0.9994  0.5850  4 Ru 2.95-3.07, 2 Y 3.20-3.21
Y  0.3241  0.7500  0.2504  2 Ru 2.73-2.92
Y  0.3799  0.2500  0.0199  2 Ru 2.74-2.82
Y  0.6201  0.7500  0.9801  2 Ru 2.74-2.82
Y  0.6759  0.2500  0.7496  2 Ru 2.73-2.92
Y  0.7563  0.0006  0.4150  4 Ru 2.95-3.07, 2 Y 3.20-3.21
Y  0.7563  0.4994  0.4150  4 Ru 2.95-3.07, 2 Y 3.20-3.21
Ru  0.0223  0.2500  0.7390  4 Y 2.73-2.95
Ru  0.4126  0.2500  0.3724  6 Y 2.74-3.02, 1 Sm 2.83
Ru  0.5874  0.7500  0.6276  6 Y 2.74-3.02, 1 Sm 2.83
Ru  0.9777  0.7500  0.2610  4 Y 2.73-2.95

[6]
Sm2YRu2: optimized geometry, PBE.

## Properties
crystal system: monoclinic
offset from the most stable computed form: 0.366 eV per formula unit

Cell lengths 5.5683, 4.3932, 10.4466 Å; angles 90.00, 96.87, 90.00 degrees
With the nearest neighbours (Å) after each atom.
Fractional positions:
Sm  0.1097  0.2500  0.3828  5 Ru 2.83-2.99
Sm  0.2514  0.2500  0.0292  4 Ru 2.90-3.23
Sm  0.7486  0.7500  0.9708  4 Ru 2.90-3.23
Sm  0.8903  0.7500  0.6172  5 Ru 2.83-2.99
Y  0.4157  0.2500  0.7144  5 Ru 2.81-3.07
Y  0.5843  0.7500  0.2856  5 Ru 2.81-3.07
Ru  0.2536  0.7500  0.8478  2 Y 2.81, 4 Sm 2.90-2.95
Ru  0.3613  0.7500  0.5404  4 Sm 2.83-2.99, 3 Y 2.84-3.07, 2 Ru 2.87
Ru  0.6387  0.2500  0.4596  4 Sm 2.83-2.99, 3 Y 2.84-3.07, 2 Ru 2.87
Ru  0.7464  0.2500  0.1522  2 Y 2.81, 4 Sm 2.90-2.95

[7]
SmY2Ru: optimized geometry, PBE.

## Properties
crystal system: orthorhombic
offset from the most stable computed form: 0.073 eV per formula unit

Cell lengths 6.3840, 6.3840, 9.2495 Å; angles 90.00, 90.00, 144.37 degrees
With the nearest neighbours (Å) after each atom.
Fractional positions:
Sm  0.0766  0.9234  0.7500  2 Ru 2.81
Sm  0.9234  0.0766  0.2500  2 Ru 2.81
Y  0.3560  0.6440  0.5691  3 Ru 2.92-3.19
Y  0.3560  0.6440  0.9309  3 Ru 2.92-3.19
Y  0.6440  0.3560  0.0691  3 Ru 2.92-3.19
Y  0.6440  0.3560  0.4309  3 Ru 2.92-3.19
Ru  0.2573  0.7427  0.2500  2 Sm 2.81, 4 Y 2.92
Ru  0.7427  0.2573  0.7500  2 Sm 2.81, 4 Y 2.92

[8]
SmY5Ru6: optimized geometry, PBE.

## Properties
crystal system: orthorhombic

Cell lengths 8.3619, 8.3619, 8.3619 Å; angles 146.36, 131.62, 60.22 degrees
With the nearest neighbours (Å) after each atom.
Fractional positions:
Sm  0.0000  0.0000  0.0000  8 Ru 2.96
Y  0.1684  0.6684  0.5000  8 Ru 2.94-2.98
Y  0.3337  0.3337  0.0000  8 Ru 2.95-2.97
Y  0.5000  0.0000  0.5000  8 Ru 2.96-2.97
Y  0.6663  0.6663  0.0000  8 Ru 2.95-2.97
Y  0.8316  0.3316  0.5000  8 Ru 2.94-2.98
Ru  0.0829  0.8333  0.2495  7 Y 2.94-2.97, 1 Sm 2.96
Ru  0.2496  0.5000  0.7496  6 Y 2.95-2.98, 2 Sm 2.96
Ru  0.4162  0.1667  0.2495  7 Y 2.94-2.97, 1 Sm 2.96
Ru  0.5838  0.8333  0.7505  7 Y 2.94-2.97, 1 Sm 2.96
Ru  0.7504  0.5000  0.2504  6 Y 2.95-2.98, 2 Sm 2.96
Ru  0.9171  0.1667  0.7505  7 Y 2.94-2.97, 1 Sm 2.96

[9]
Sm2YRu2: optimized geometry, PBE.

## Properties
crystal system: orthorhombic
offset from the most stable computed form: 0.000 eV per formula unit

Cell lengths 10.6160, 10.6160, 3.4099 Å; angles 90.00, 90.00, 161.39 degrees
With the nearest neighbours (Å) after each atom.
Fractional positions:
Sm  0.1636  0.8364  0.0000  4 Ru 2.92
Sm  0.8364  0.1636  0.0000  4 Ru 2.92
Y  0.0000  0.0000  0.0000  8 Ru 3.02
Ru  0.4141  0.5859  0.5000  4 Sm 2.92, 4 Y 3.02
Ru  0.5859  0.4141  0.5000  4 Sm 2.92, 4 Y 3.02

[10]
Sm3YRu8: optimized geometry, PBE.

## Properties
crystal system: trigonal

Cell lengths 9.3543, 9.3543, 9.3543 Å; angles 33.37, 33.37, 33.37 degrees
With the nearest neighbours (Å) after each atom.
Fractional positions:
Sm  0.0000  0.0000  0.0000  12 Ru 3.14-3.17, 3 Y 3.29, 1 Sm 3.31
Sm  0.1249  0.1249  0.1249  12 Ru 3.13-3.18, 4 Sm 3.29-3.31
Sm  0.4999  0.4999  0.4999  12 Ru 3.15-3.18, 3 Sm 3.29, 1 Y 3.30
Y  0.6247  0.6247  0.6247  12 Ru 3.13-3.15, 4 Sm 3.29-3.30
Ru  0.0586  0.0586  0.5700  6 Ru 2.62-2.76
Ru  0.0586  0.5700  0.0586  6 Ru 2.62-2.76
Ru  0.0662  0.5586  0.5586  6 Ru 2.64-2.74
Ru  0.3083  0.3083  0.3083  6 Ru 2.63-2.74
Ru  0.5586  0.0662  0.5586  6 Ru 2.64-2.74
Ru  0.5586  0.5586  0.0662  6 Ru 2.64-2.74
Ru  0.5700  0.0586  0.0586  6 Ru 2.62-2.76
Ru  0.8085  0.8085  0.8085  6 Ru 2.66-2.76

| no. | ΔE_f (eV per formula unit) | energy (eV per atom) |
| --- | --- | --- |
| 1 | -0.65 | -7.0364 |
| 2 | -0.79 | -6.9276 |
| 3 | -0.44 | -6.0667 |
| 4 | -0.88 | -6.1551 |
| 5 | -1.51 | -7.2344 |
| 6 | -0.79 | -7.0481 |
| 7 | -1.06 | -6.9957 |
| 8 | -3.06 | -7.9793 |
| 9 | -1.15 | -7.1214 |
| 10 | -2.63 | -8.1216 |